A plane-wave DFT calculation with PBE was carried out for a relaxed structure of ZrAlN.

Unit cell a=8.153 b=3.130 c=6.452 alpha=90.00 beta=90.00 gamma=90.00
Space group Pnma (No. 62)
Inequivalent atoms, fractional coordinates:
Zr 0.198 0.250 0.065
Al 0.016 0.250 0.671
N 0.093 0.750 0.829

Values from the calculation:
The energy is -7.766 eV per atom. The crystal system is orthorhombic. The calculation puts the density of states at the Fermi level at 0.162 states/eV per atom. The value obtained for the formation energy (no corrections) is -894 meV per atom.